First-principles (PBE) data for a relaxed CsTiInPb2 crystal, as listed in Alexandria.

a = 5.5367 Å, b = 5.5367 Å, c = 5.6234 Å
α = 90.00°, β = 90.00°, γ = 90.00°
With the nearest neighbours (Å) after each atom.
Atoms (fractional coordinates):
1 Pb 0.0000 0.5000 0.0000  2 Ti 2.77
2 Pb 0.5000 0.0000 0.0000  2 Ti 2.77
3 Cs 0.5000 0.5000 0.5000  4 In 3.92, 8 Pb 3.95
4 Ti 0.0000 0.0000 0.0000  4 Pb 2.77, 2 In 2.81
5 In 0.0000 0.0000 0.5000  2 Ti 2.81

- Formation energy from the elements: 15.5 meV per atom
- DOS at the Fermi energy: 3.66 states/eV/f.u.


First-principles (PBE) data for a relaxed CsTl2InPb crystal, as listed in Alexandria.

a = 5.1255 Å, b = 5.1255 Å, c = 7.9812 Å
α = 108.73°, β = 108.73°, γ = 90.00°
With the nearest neighbours (Å) after each atom.
Atoms (fractional coordinates):
1 Cs 0.0000 0.0000 0.0000  8 Tl 3.97, 4 In 4.38, 4 Pb 4.38
2 Tl 0.6146 0.6146 0.2293  2 Pb 3.21, 2 In 3.21, 1 Tl 3.26
3 Tl 0.3854 0.3854 0.7707  2 Pb 3.21, 2 In 3.21, 1 Tl 3.26
4 In 0.7500 0.2500 0.5000  4 Tl 3.21
5 Pb 0.2500 0.7500 0.5000  4 Tl 3.21

- Formation energy from the elements: -70.7 meV per atom
- DOS at the Fermi energy: 2.76 states/eV/f.u.


First-principles (PBE) data for a relaxed Cs2Tl3In4Pb crystal, as listed in Alexandria.

a = 5.2628 Å, b = 5.2628 Å, c = 12.9639 Å
α = 90.00°, β = 90.00°, γ = 90.00°
With the nearest neighbours (Å) after each atom.
Atoms (fractional coordinates):
1 Cs 0.5000 0.0000 0.2490  8 In 4.02-4.16, 6 Tl 4.02-4.18, 2 Pb 4.18
2 Cs 0.0000 0.5000 0.7510  8 In 4.02-4.16, 6 Tl 4.02-4.18, 2 Pb 4.18
3 Tl 0.0000 0.0000 0.5000  4 In 3.15
4 Tl 0.5000 0.0000 0.8689  5 In 3.06-3.13
5 Tl 0.0000 0.5000 0.1311  5 In 3.06-3.13
6 In 0.5000 0.5000 0.0000  4 Tl 3.13
7 In 0.0000 0.0000 0.0000  4 Tl 3.13
8 In 0.5000 0.0000 0.6332  3 Tl 3.06-3.15, 2 Pb 3.15
9 In 0.0000 0.5000 0.3668  3 Tl 3.06-3.15, 2 Pb 3.15
10 Pb 0.5000 0.5000 0.5000  4 In 3.15

- Formation energy from the elements: -91.6 meV per atom
- DOS at the Fermi energy: 4.84 states/eV/f.u.


First-principles (PBE) data for a relaxed CsTlIn4Pb2 crystal, as listed in Alexandria.

a = 5.5394 Å, b = 5.5394 Å, c = 11.1760 Å
α = 75.65°, β = 75.65°, γ = 60.00°
With the nearest neighbours (Å) after each atom.
Atoms (fractional coordinates):
1 Cs 0.0000 0.0000 0.0000  8 In 3.96-4.19
2 Tl 0.5000 0.5000 0.5000  2 In 3.03
3 In 0.4058 0.4058 0.7826  1 Tl 3.03, 3 Pb 3.33
4 In 0.8696 0.8696 0.3911  4 Pb 3.26-3.33, 3 Tl 3.40
5 In 0.1304 0.1304 0.6089  4 Pb 3.26-3.33, 3 Tl 3.40
6 In 0.5942 0.5942 0.2174  1 Tl 3.03, 3 Pb 3.33
7 Pb 0.7682 0.7682 0.6955  7 In 3.26-3.33
8 Pb 0.2318 0.2318 0.3045  7 In 3.26-3.33

- Formation energy from the elements: -9.3 meV per atom
- DOS at the Fermi energy: 4.93 states/eV/f.u.


First-principles (PBE) data for a relaxed Cs2Tl12In3Pb crystal, as listed in Alexandria.

a = 8.6538 Å, b = 8.6538 Å, c = 8.6538 Å
α = 85.51°, β = 85.51°, γ = 85.51°
With the nearest neighbours (Å) after each atom.
Atoms (fractional coordinates):
1 Cs 0.6225 0.6225 0.6225  9 Tl 3.59-3.96, 1 Cs 3.95
2 Cs 0.3775 0.3775 0.3775  9 Tl 3.59-3.96, 1 Cs 3.95
3 Tl 0.3754 0.3754 0.9428  2 Tl 3.17-3.42, 2 In 3.35
4 Tl 0.8075 0.8075 0.2787  3 Tl 3.17-3.39, 1 Pb 3.25, 1 In 3.26
5 Tl 0.2787 0.8075 0.8075  3 Tl 3.17-3.39, 1 Pb 3.25, 1 In 3.26
6 Tl 0.9428 0.3754 0.3754  2 Tl 3.17-3.42, 2 In 3.35
7 Tl 0.8075 0.2787 0.8075  3 Tl 3.17-3.39, 1 Pb 3.25, 1 In 3.26
8 Tl 0.3754 0.9428 0.3754  2 Tl 3.17-3.42, 2 In 3.35
9 Tl 0.6246 0.6246 0.0572  2 Tl 3.17-3.42, 2 In 3.35
10 Tl 0.1925 0.1925 0.7213  3 Tl 3.17-3.39, 1 Pb 3.25, 1 In 3.26
11 Tl 0.7213 0.1925 0.1925  3 Tl 3.17-3.39, 1 Pb 3.25, 1 In 3.26
12 Tl 0.0572 0.6246 0.6246  2 Tl 3.17-3.42, 2 In 3.35
13 Tl 0.1925 0.7213 0.1925  3 Tl 3.17-3.39, 1 Pb 3.25, 1 In 3.26
14 Tl 0.6246 0.0572 0.6246  2 Tl 3.17-3.42, 2 In 3.35
15 In 0.5000 0.0000 0.0000  6 Tl 3.26-3.35
16 In 0.0000 0.5000 0.0000  6 Tl 3.26-3.35
17 In 0.0000 0.0000 0.5000  6 Tl 3.26-3.35
18 Pb 0.0000 0.0000 0.0000  6 Tl 3.25

- Formation energy from the elements: 70.1 meV per atom
- DOS at the Fermi energy: 8.11 states/eV/f.u.


First-principles (PBE) data for a relaxed CsTlInPb crystal, as listed in Alexandria.

a = 5.0831 Å, b = 5.0831 Å, c = 7.9749 Å
α = 71.42°, β = 71.42°, γ = 60.00°
With the nearest neighbours (Å) after each atom.
Atoms (fractional coordinates):
1 Cs 0.8067 0.8067 0.5800  3 Tl 3.89, 3 Pb 3.94
2 Tl 0.0253 0.0253 0.9240  3 In 3.19
3 In 0.3022 0.3022 0.0933  3 Pb 3.09, 3 Tl 3.19
4 Pb 0.5916 0.5916 0.2251  3 In 3.09

- Formation energy from the elements: -91.0 meV per atom
- Polymorph energy (0 for the lowest one): 0 meV/atom
- DOS at the Fermi energy: 2.59 states/eV/f.u.


First-principles (PBE) data for a relaxed CsTl3InPb crystal, as listed in Alexandria.

a = 7.1035 Å, b = 7.5148 Å, c = 9.6688 Å
α = 112.87°, β = 90.00°, γ = 90.00°
With the nearest neighbours (Å) after each atom.
Atoms (fractional coordinates):
1 Cs 0.7500 0.3041 0.6081  1 In 3.70, 2 Pb 3.81, 2 Tl 4.03
2 Cs 0.2500 0.6959 0.3919  1 In 3.70, 2 Pb 3.81, 2 Tl 4.03
3 Tl 0.2500 0.1141 0.2282  4 Tl 3.40, 3 In 3.57-3.75
4 Tl 0.0000 0.2743 0.0000  2 In 3.22, 2 Pb 3.24, 5 Tl 3.39-3.55
5 Tl 0.5000 0.7257 0.0000  2 In 3.22, 2 Pb 3.24, 5 Tl 3.39-3.55
6 Tl 0.5000 0.2743 0.0000  2 In 3.22, 2 Pb 3.24, 5 Tl 3.39-3.55
7 Tl 0.0000 0.7257 0.0000  2 In 3.22, 2 Pb 3.24, 5 Tl 3.39-3.55
8 Tl 0.7500 0.8859 0.7718  4 Tl 3.40, 3 In 3.57-3.75
9 In 0.2500 0.9037 0.8075  6 Tl 3.22-3.57
10 In 0.7500 0.0963 0.1925  6 Tl 3.22-3.57
11 Pb 0.2500 0.3814 0.7628  4 Tl 3.24
12 Pb 0.7500 0.6186 0.2372  4 Tl 3.24

- Formation energy from the elements: 15.6 meV per atom
- DOS at the Fermi energy: 3.91 states/eV/f.u.


First-principles (PBE) data for a relaxed CsTl4In2Pb crystal, as listed in Alexandria.

a = 5.5272 Å, b = 5.5272 Å, c = 11.3201 Å
α = 75.87°, β = 75.87°, γ = 60.00°
With the nearest neighbours (Å) after each atom.
Atoms (fractional coordinates):
1 Cs 0.0000 0.0000 0.0000  8 Tl 3.90-4.21
2 Tl 0.4022 0.4022 0.7934  1 Pb 3.19, 3 In 3.38
3 Tl 0.8708 0.8708 0.3877  4 In 3.28-3.30, 3 Pb 3.42
4 Tl 0.1292 0.1292 0.6123  4 In 3.28-3.30, 3 Pb 3.42
5 Tl 0.5978 0.5978 0.2066  1 Pb 3.19, 3 In 3.38
6 In 0.7701 0.7701 0.6898  7 Tl 3.28-3.38
7 In 0.2299 0.2299 0.3102  7 Tl 3.28-3.38
8 Pb 0.5000 0.5000 0.5000  8 Tl 3.19-3.42

- Formation energy from the elements: -23.5 meV per atom
- DOS at the Fermi energy: 5.61 states/eV/f.u.